Record 1
First-principles (PBE) data for TbNd2Er after structural relaxation, as listed in Alexandria via LeMat-Bulk.

a b c (Å): 5.1192 5.1192 5.0567
angles (deg): 90.00 90.00 90.00
Closest atoms and distances in Å follow each position.
Space group P4/mmm (No. 123)
Unique sites:
Tb (0.0000, 0.0000, 0.0000) x1  8 Nd 3.60, 4 Er 3.62
Nd (0.0000, 0.5000, 0.5000) x2  4 Tb 3.60, 4 Er 3.60, 4 Nd 3.62
Er (0.5000, 0.5000, 0.0000) x1  8 Nd 3.60, 4 Tb 3.62

Values from the calculation:
Formation energy in eV per atom: 0.019
Energy in eV/atom: -4.663
Magnetic moment in μB/f.u.: 0.000
Energy above the most stable polymorph in this dataset in eV per atom: 0.006

***

Record 2
First-principles (PBE) data for NaSc2BeBr after structural relaxation, as listed in Alexandria via LeMat-Bulk.

a b c (Å): 4.8682 4.8682 5.4246
angles (deg): 90.00 90.00 90.00
Closest atoms and distances in Å follow each position.
Space group P4/mmm (No. 123)
Unique sites:
Na (0.0000, 0.0000, 0.0000) x1  2 Be 2.71
Sc (0.0000, 0.5000, 0.5000) x2  2 Be 2.43
Be (0.0000, 0.0000, 0.5000) x1  4 Sc 2.43, 2 Na 2.71
Br (0.5000, 0.5000, 0.0000) x1  4 Na 3.44, 8 Sc 3.64

Values from the calculation:
Energy in eV/atom: -3.720
ΔE_f (raw) in meV/atom: 156
Magnetic moment in μB/f.u.: 0.000

***

Record 3
First-principles (PBE) data for Rb3Sc2BiSe6 after structural relaxation, as listed in Alexandria via LeMat-Bulk.

a b c (Å): 7.2065 12.4813 8.2845
angles (deg): 90.00 106.88 90.00
Closest atoms and distances in Å follow each position.
Space group C2/m (No. 12)
Unique sites:
Rb (0.0000, 0.0000, 0.0000) x2  6 Se 3.35-3.48
Rb (0.0000, 0.3384, 0.0000) x4  6 Se 3.37-3.49
Sc (0.0000, 0.1673, 0.5000) x4  6 Se 2.78
Bi (0.0000, 0.5000, 0.5000) x2  6 Se 2.95-2.96
Se (0.2102, 0.0000, 0.6891) x4  2 Sc 2.78, 1 Bi 2.95
Se (0.2401, 0.3236, 0.6908) x8  2 Sc 2.78, 1 Bi 2.96

Values from the calculation:
Energy in eV/atom: -4.681
ΔE_f (raw) in meV/atom: -1318
Magnetic moment in μB/f.u.: 0.000

***

Record 4
First-principles (PBE) data for MnAgRu after structural relaxation, as listed in Alexandria via LeMat-Bulk.

a b c (Å): 5.8489 5.8489 5.8489
angles (deg): 90.00 90.00 90.00
Closest atoms and distances in Å follow each position.
Space group F-43m (No. 216)
Unique sites:
Mn (0.0000, 0.0000, 0.0000) x4  4 Ru 2.53, 4 Ag 2.53
Ag (0.2500, 0.2500, 0.7500) x4  4 Mn 2.53
Ru (0.2500, 0.2500, 0.2500) x4  4 Mn 2.53

Values from the calculation:
Formation energy in eV per atom: 0.738
Energy in eV/atom: -6.361
Magnetic moment in μB/f.u.: 2.143
Energy above the most stable polymorph in this dataset in eV per atom: 0.433

***

Record 5
First-principles (PBE) data for Ac3Al2CdHg6 after structural relaxation, as listed in Alexandria via LeMat-Bulk.

a b c (Å): 6.7308 6.7308 8.9501
angles (deg): 90.00 90.00 120.00
Closest atoms and distances in Å follow each position.
Space group P-3m1 (No. 164)
Unique sites:
Ac (0.0000, 0.0000, 0.0000) x1  6 Hg 3.27
Ac (0.3333, 0.6667, 0.6428) x2  9 Hg 3.44-3.70, 1 Al 3.45
Al (0.3333, 0.6667, 0.0285) x2  3 Hg 2.86
Cd (0.0000, 0.0000, 0.5000) x1  6 Hg 2.89
Hg (0.1811, 0.3623, 0.2795) x6  1 Al 2.86, 1 Cd 2.89, 2 Hg 3.07

Values from the calculation:
Formation energy in eV per atom: -0.161
Energy in eV/atom: -2.039
Magnetic moment in μB/f.u.: 0.000

***

Record 6
First-principles (PBE) data for Tl2HgSb after structural relaxation, as listed in Alexandria via LeMat-Bulk.

a b c (Å): 3.5080 3.5080 34.0649
angles (deg): 90.00 90.00 120.00
Closest atoms and distances in Å follow each position.
Space group R-3m (No. 166, hexagonal axes)
Unique sites:
Tl (0.0000, 0.0000, 0.2471) x6  3 Sb 3.41, 6 Tl 3.51, 3 Hg 3.57
Hg (0.0000, 0.0000, 0.0000) x3  6 Hg 3.51, 6 Tl 3.57
Sb (0.0000, 0.0000, 0.5000) x3  6 Tl 3.41, 6 Sb 3.51

Values from the calculation:
Energy in eV/atom: -2.261
ΔE_f (raw) in meV/atom: 28
Magnetic moment in μB/f.u.: 0.000
Energy above the most stable polymorph in this dataset in eV per atom: 0.038

***

Record 7
First-principles (PBE) data for TbCoGeH after structural relaxation, as listed in Alexandria via LeMat-Bulk.

a b c (Å): 3.9155 3.9155 7.3880
angles (deg): 90.00 90.00 90.00
Closest atoms and distances in Å follow each position.
Space group P4/nmm (No. 129, origin choice 2)
Unique sites:
Tb (0.2500, 0.2500, 0.1635) x2  4 H 2.30
Co (0.2500, 0.7500, 0.5000) x2  4 Ge 2.35
Ge (0.2500, 0.2500, 0.6758) x2  4 Co 2.35
H (0.2500, 0.7500, 0.0000) x2  4 Tb 2.30

Values from the calculation:
Energy in eV/atom: -5.607
Magnetic moment in μB/f.u.: 0.000

***

Record 8
First-principles (PBE) data for DyErBe2 after structural relaxation, as listed in Alexandria via LeMat-Bulk.

a b c (Å): 4.7825 4.7825 3.4055
angles (deg): 90.00 90.00 90.00
Closest atoms and distances in Å follow each position.
Space group P4/mmm (No. 123)
Unique sites:
Dy (0.0000, 0.0000, 0.0000) x1  8 Be 2.94
Er (0.5000, 0.5000, 0.0000) x1  8 Be 2.94
Be (0.0000, 0.5000, 0.5000) x2  4 Dy 2.94, 4 Er 2.94

Values from the calculation:
Formation energy in eV per atom: 0.090
Energy in eV/atom: -4.064
Magnetic moment in μB/f.u.: 0.000
Energy above the most stable polymorph in this dataset in eV per atom: 0.000

***

Record 9
First-principles (PBE) data for Ac2MgZn4Sn3 after structural relaxation, as listed in Alexandria via LeMat-Bulk.

a b c (Å): 4.6440 4.6440 11.3539
angles (deg): 90.00 90.00 90.00
Closest atoms and distances in Å follow each position.
Space group P-4m2 (No. 115)
Unique sites:
Ac (0.0000, 0.5000, 0.2444) x2  6 Sn 3.53-3.72, 8 Zn 3.56-3.62, 2 Mg 3.72
Mg (0.0000, 0.0000, 0.5000) x1  4 Zn 2.78
Zn (0.0000, 0.0000, 0.0000) x1  4 Sn 2.76
Zn (0.0000, 0.5000, 0.6341) x2  3 Sn 2.66-2.78, 2 Mg 2.78
Zn (0.5000, 0.5000, 0.0000) x1  4 Sn 2.76
Sn (0.0000, 0.5000, 0.8686) x2  5 Zn 2.66-2.76
Sn (0.5000, 0.5000, 0.5000) x1  4 Zn 2.78

Values from the calculation:
Formation energy in eV per atom: -0.397
Energy in eV/atom: -3.088
Magnetic moment in μB/f.u.: 0.000

***

Record 10
First-principles (PBE) data for NaTlSn after structural relaxation, as listed in Alexandria via LeMat-Bulk.

a b c (Å): 4.8235 13.6514 5.2260
angles (deg): 90.00 90.00 90.00
Closest atoms and distances in Å follow each position.
Space group Cmmm (No. 65)
Unique sites:
Na (0.0000, 0.0000, 0.0000) x2  4 Tl 3.44, 4 Sn 3.44, 4 Na 3.56
Na (0.0000, 0.5000, 0.5000) x2  4 Tl 3.29, 4 Na 3.56, 4 Sn 3.59
Tl (0.0000, 0.1643, 0.5000) x4  4 Na 3.29-3.44, 2 Tl 3.36, 6 Sn 3.37-3.56
Sn (0.0000, 0.3199, 0.0000) x4  2 Sn 3.08, 2 Tl 3.37, 2 Na 3.44

Values from the calculation:
Formation energy in eV per atom: -0.114
Energy in eV/atom: -2.677
Magnetic moment in μB/f.u.: 0.000

***

Record 11
First-principles (PBE) data for NdLuAgRu after structural relaxation, as listed in Alexandria via LeMat-Bulk.

a b c (Å): 7.0688 7.0688 7.0688
angles (deg): 90.00 90.00 90.00
Closest atoms and distances in Å follow each position.
Space group F-43m (No. 216)
Unique sites:
Nd (0.0000, 0.0000, 0.0000) x4  4 Ru 3.06, 4 Ag 3.06
Lu (0.0000, 0.0000, 0.5000) x4  4 Ag 3.06, 4 Ru 3.06
Ag (0.2500, 0.2500, 0.2500) x4  4 Nd 3.06, 4 Lu 3.06
Ru (0.2500, 0.2500, 0.7500) x4  4 Lu 3.06, 4 Nd 3.06

Values from the calculation:
Formation energy in eV per atom: -0.282
Energy in eV/atom: -5.636
Magnetic moment in μB/f.u.: 0.000

***

Record 12
First-principles (PBE) data for K2SrTlIn after structural relaxation, as listed in Alexandria via LeMat-Bulk.

a b c (Å): 6.0760 6.2189 7.0365
angles (deg): 67.00 65.63 61.23
Closest atoms and distances in Å follow each position.
Space group P1 (No. 1)
Unique sites:
K (0.0000, 0.0000, 0.0000) x1  3 Tl 3.84-4.00, 3 In 3.92-4.14, 4 K 4.00-4.26, 3 Sr 4.01-4.08
K (0.2269, 0.2329, 0.3170) x1  3 Tl 3.56-3.62, 1 In 3.78
Sr (0.7733, 0.7493, 0.6939) x1  1 Tl 3.49, 3 In 3.57-3.58
Tl (0.5778, 0.6017, 0.2543) x1  1 In 2.86
In (0.4383, 0.3992, 0.7090) x1  1 Tl 2.86

Values from the calculation:
Formation energy in eV per atom: -0.115
Energy in eV/atom: -1.911
Magnetic moment in μB/f.u.: 0.000
Energy above the most stable polymorph in this dataset in eV per atom: 0.025